PBE with a Hubbard U MnInBrO2, optimized geometry; D(E_F) = 0.3 states/eV/cell; E_tot = -5.68 eV/atom
1.0
6.496 0.000 0.000
0.000 4.137 0.000
-1.150 0.000 7.514
Mn In Br O
2 2 2 4
direct
0.154 0.250 0.427
0.846 0.750 0.573
0.080 0.250 0.859
0.920 0.750 0.141
0.443 0.250 0.748
0.557 0.750 0.252
0.025 0.250 0.130
0.091 0.750 0.403
0.909 0.250 0.597
0.975 0.750 0.870